No. 1
VASP calculation (PBE-GGA) on a relaxed Y2SbCl crystal.

Unit cell a=7.586 b=7.586 c=7.586 alpha=90.00 beta=90.00 gamma=90.00
Element x y z (fractional)
Y1 0.000 0.000 0.000
Y2 0.000 0.500 0.500
Y3 0.250 0.250 0.250
Y4 0.250 0.750 0.750
Y5 0.500 0.000 0.500
Y6 0.500 0.500 0.000
Y7 0.750 0.250 0.750
Y8 0.750 0.750 0.250
Sb1 0.000 0.000 0.500
Sb2 0.000 0.500 0.000
Sb3 0.500 0.000 0.000
Sb4 0.500 0.500 0.500
Cl1 0.250 0.250 0.750
Cl2 0.250 0.750 0.250
Cl3 0.750 0.250 0.250
Cl4 0.750 0.750 0.750

Output
crystal system: cubic
polymorph energy (0 for the lowest one): 0.8795 eV per atom
E_form (uncorrected): -1.1 eV per formula unit
total moment: 0.000 μB/atom
total energy: -0.3678 Ry/atom


No. 2
VASP calculation (PBE-GGA) on a relaxed Pr5YTm6 crystal.

Unit cell a=9.505 b=9.505 c=9.505 alpha=148.74 beta=116.60 gamma=72.39
Element x y z (fractional)
Pr1 0.000 0.000 0.000
Pr2 0.167 0.667 0.500
Pr3 0.335 0.335 0.000
Pr4 0.665 0.665 0.000
Pr5 0.833 0.333 0.500
Y1 0.500 0.000 0.500
Tm1 0.084 0.834 0.250
Tm2 0.251 0.500 0.751
Tm3 0.417 0.166 0.250
Tm4 0.583 0.834 0.750
Tm5 0.749 0.500 0.249
Tm6 0.916 0.166 0.750

Output
crystal system: orthorhombic
total moment: 0.000 μB/atom
total energy: -0.3486 Ry/atom


No. 3
VASP calculation (PBE-GGA) on a relaxed Ba2YRe crystal.

Unit cell a=3.874 b=4.095 c=9.584 alpha=90.00 beta=98.26 gamma=90.00
Element x y z (fractional)
Ba1 0.000 0.000 0.000
Ba2 0.357 0.500 0.603
Y1 0.768 0.000 0.339
Re1 0.252 0.500 0.249

Output
crystal system: monoclinic
polymorph energy (0 for the lowest one): 0.0000 eV per atom
total moment: 0.000 μB/atom
total energy: -0.3773 Ry/atom


No. 4
VASP calculation (PBE-GGA) on a relaxed RbLa3Fe crystal.

Unit cell a=5.632 b=5.632 c=5.632 alpha=90.00 beta=90.00 gamma=90.00
Element x y z (fractional)
Rb1 0.000 0.000 0.000
La1 0.000 0.500 0.500
La2 0.500 0.000 0.500
La3 0.500 0.500 0.000
Fe1 0.500 0.500 0.500

Output
crystal system: cubic
total moment: 0.000 μB/atom
total energy: -0.3356 Ry/atom


No. 5
VASP calculation (PBE-GGA) on a relaxed CsHg2Sb crystal.

Unit cell a=5.463 b=20.885 c=5.244 alpha=90.00 beta=90.00 gamma=90.00
Element x y z (fractional)
Cs1 0.000 0.113 0.250
Cs2 0.000 0.887 0.750
Cs3 0.500 0.387 0.750
Cs4 0.500 0.613 0.250
Hg1 0.000 0.254 0.750
Hg2 0.000 0.464 0.250
Hg3 0.000 0.536 0.750
Hg4 0.000 0.746 0.250
Hg5 0.500 0.036 0.750
Hg6 0.500 0.246 0.250
Hg7 0.500 0.754 0.750
Hg8 0.500 0.964 0.250
Sb1 0.000 0.321 0.250
Sb2 0.000 0.679 0.750
Sb3 0.500 0.179 0.750
Sb4 0.500 0.821 0.250

Output
crystal system: orthorhombic
E_form (uncorrected): -1.0 eV per formula unit
total moment: 0.000 μB/atom
total energy: -0.1216 Ry/atom


No. 6
VASP calculation (PBE-GGA) on a relaxed LiCrSe2 crystal.

Unit cell a=3.697 b=3.697 c=19.503 alpha=90.00 beta=90.00 gamma=120.00
Element x y z (fractional)
Li1 0.000 0.000 0.000
Li2 0.333 0.667 0.667
Li3 0.667 0.333 0.333
Cr1 0.000 0.000 0.835
Cr2 0.333 0.667 0.502
Cr3 0.667 0.333 0.169
Se1 0.000 0.000 0.241
Se2 0.000 0.000 0.430
Se3 0.333 0.667 0.097
Se4 0.333 0.667 0.908
Se5 0.667 0.333 0.574
Se6 0.667 0.333 0.763

Output
crystal system: trigonal
E_form (uncorrected): -3.2 eV per formula unit
total moment: 0.750 μB/atom
total energy: -0.3988 Ry/atom


Question: What is the formula in the fourth record?
Answer: RbLa3Fe


Question: Which of these has the highest total moment?
Answer: LiCrSe2